#i
Compound: NaBi2P2
Source: the Alexandria database
Functional: PBE-GGA
Structure: optimized geometry

Properties
Total magnetization (μB/cell): 0.00

Lattice parameters (Å, degrees): 5.3485 5.3485 10.2654 90.00 90.00 90.00
Last column: nearest neighbours and their distance in Å.
Space group I4/mmm (No. 139)
Asymmetric unit:
1 Na 0.0000 0.0000 0.0000 [2 per cell]  2 Bi 3.49, 8 P 3.71
2 Bi 0.0000 0.0000 0.3402 [4 per cell]  4 P 2.83
3 P 0.0000 0.5000 0.2500 [4 per cell]  4 Bi 2.83

#ii
Compound: NaBi2P2
Source: the Alexandria database
Functional: PBE-GGA
Structure: optimized geometry

Properties
Total magnetization (μB/cell): 0.00

Lattice parameters (Å, degrees): 4.5211 4.5211 13.6099 90.00 90.00 90.00
Last column: nearest neighbours and their distance in Å.
Space group I4/mmm (No. 139)
Asymmetric unit:
1 Na 0.0000 0.0000 0.0000 [2 per cell]  8 P 3.36
2 Bi 0.0000 0.5000 0.2500 [4 per cell]  4 Bi 3.20, 4 P 3.27
3 P 0.0000 0.0000 0.4233 [4 per cell]  1 P 2.09

#iii
Compound: NaBi2P2
Source: the Alexandria database
Functional: PBE-GGA
Structure: optimized geometry

Properties
Total magnetization (μB/cell): 0.00

Lattice parameters (Å, degrees): 8.0100 8.0100 3.9199 90.00 90.00 90.00
Last column: nearest neighbours and their distance in Å.
Space group P4/mbm (No. 127)
Asymmetric unit:
1 Na 0.0000 0.0000 0.0000 [2 per cell]  4 P 2.96
2 Bi 0.1576 0.3424 0.5000 [4 per cell]  2 P 2.75
3 P 0.1725 0.6725 0.0000 [4 per cell]  2 Bi 2.75, 2 Na 2.96

Bottom line: #i, by a margin of 0.008 eV/atom.

#i
Compound: Na2BiP2
Source: the Alexandria database
Functional: PBE-GGA
Structure: optimized geometry

Properties
Total magnetization (μB/cell): 0.00

Lattice parameters (Å, degrees): 4.5001 4.5001 11.3745 90.00 90.00 90.00
Last column: nearest neighbours and their distance in Å.
Space group I4/mmm (No. 139)
Asymmetric unit:
1 Na 0.0000 0.5000 0.2500 [4 per cell]  4 P 2.87, 4 Na 3.18
2 Bi 0.0000 0.0000 0.0000 [2 per cell]  8 P 3.36, 8 Na 3.63
3 P 0.0000 0.0000 0.4061 [4 per cell]  1 P 2.14

#ii
Compound: Na2BiP2
Source: the Alexandria database
Functional: PBE-GGA
Structure: optimized geometry

Properties
Total magnetization (μB/cell): 0.00

Lattice parameters (Å, degrees): 8.3983 8.3983 3.0976 90.00 90.00 90.00
Last column: nearest neighbours and their distance in Å.
Space group P4/mbm (No. 127)
Asymmetric unit:
1 Na 0.1201 0.3799 0.0000 [4 per cell]  6 P 2.84-3.00, 3 Na 2.85-3.10
2 Bi 0.0000 0.0000 0.5000 [2 per cell]  4 P 3.08, 2 Bi 3.10
3 P 0.1800 0.6800 0.5000 [4 per cell]  6 Na 2.84-3.00, 2 Bi 3.08, 2 P 3.10

Bottom line: #ii, by a margin of 0.017 eV/atom.

#i
Compound: NaBiP3
Source: the Alexandria database
Functional: PBE-GGA
Structure: optimized geometry

Properties
Total magnetization (μB/cell): 0.00

Lattice parameters (Å, degrees): 4.8768 4.8768 4.8768 90.00 90.00 90.00
Last column: nearest neighbours and their distance in Å.
Space group Pm-3m (No. 221)
Asymmetric unit:
1 Na 0.0000 0.0000 0.0000 [1 per cell]  6 P 2.44
2 Bi 0.5000 0.5000 0.5000 [1 per cell]  12 P 3.45
3 P 0.0000 0.0000 0.5000 [3 per cell]  2 Na 2.44

#ii
Compound: NaBiP3
Source: the Alexandria database
Functional: PBE-GGA
Structure: optimized geometry

Properties
Total magnetization (μB/cell): 0.00

Lattice parameters (Å, degrees): 5.3349 5.3349 5.3349 90.00 90.00 90.00
Last column: nearest neighbours and their distance in Å.
Space group Pm-3m (No. 221)
Asymmetric unit:
1 Na 0.0000 0.0000 0.0000 [1 per cell]  12 P 3.77
2 Bi 0.5000 0.5000 0.5000 [1 per cell]  6 P 2.67
3 P 0.0000 0.5000 0.5000 [3 per cell]  2 Bi 2.67

Bottom line: #ii, by a margin of 0.274 eV/atom.

#i
Compound: Na3BiP
Source: the Alexandria database
Functional: PBE-GGA
Structure: optimized geometry

Properties
Total magnetization (μB/cell): 3.00

Lattice parameters (Å, degrees): 5.9878 5.9878 5.9878 90.00 90.00 90.00
Last column: nearest neighbours and their distance in Å.
Space group Pm-3m (No. 221)
Asymmetric unit:
1 Na 0.0000 0.0000 0.5000 [3 per cell]  2 Bi 2.99
2 Bi 0.0000 0.0000 0.0000 [1 per cell]  6 Na 2.99
3 P 0.5000 0.5000 0.5000 [1 per cell]  12 Na 4.23

#ii
Compound: Na3BiP
Source: the Alexandria database
Functional: PBE-GGA
Structure: optimized geometry

Properties
Total magnetization (μB/cell): 1.48

Lattice parameters (Å, degrees): 5.4037 5.4037 5.4037 90.00 90.00 90.00
Last column: nearest neighbours and their distance in Å.
Space group Pm-3m (No. 221)
Asymmetric unit:
1 Na 0.0000 0.0000 0.5000 [3 per cell]  2 P 2.70
2 Bi 0.5000 0.5000 0.5000 [1 per cell]  12 Na 3.82
3 P 0.0000 0.0000 0.0000 [1 per cell]  6 Na 2.70

Bottom line: #ii, by a margin of 0.324 eV/atom.

#i
Compound: NaSrBiP2
Source: the Alexandria database
Functional: PBE-GGA
Structure: optimized geometry

Properties
Total magnetization (μB/cell): 0.00

Lattice parameters (Å, degrees): 5.1123 5.1123 5.3141 90.00 90.00 90.00
Last column: nearest neighbours and their distance in Å.
Space group P4/mmm (No. 123)
Asymmetric unit:
1 Na 0.0000 0.0000 0.0000 [1 per cell]  4 P 2.56, 2 Bi 2.66
2 Sr 0.5000 0.5000 0.5000 [1 per cell]  4 Bi 3.61, 8 P 3.69
3 Bi 0.0000 0.0000 0.5000 [1 per cell]  2 Na 2.66
4 P 0.0000 0.5000 0.0000 [2 per cell]  2 Na 2.56

#ii
Compound: NaSrBiP2
Source: the Alexandria database
Functional: PBE-GGA
Structure: optimized geometry

Properties
Total magnetization (μB/cell): 0.00

Lattice parameters (Å, degrees): 5.4682 5.4682 5.2482 90.00 90.00 90.00
Last column: nearest neighbours and their distance in Å.
Space group P4/mmm (No. 123)
Asymmetric unit:
1 Na 0.0000 0.0000 0.0000 [1 per cell]  2 Bi 2.62
2 Sr 0.5000 0.5000 0.0000 [1 per cell]  8 P 3.79, 4 Na 3.87
3 Bi 0.0000 0.0000 0.5000 [1 per cell]  2 Na 2.62, 4 P 2.73
4 P 0.0000 0.5000 0.5000 [2 per cell]  2 Bi 2.73

Bottom line: #ii, by a margin of 0.106 eV/atom.

#i
Compound: NaPaBi4
Source: the Alexandria database
Functional: PBE-GGA
Structure: optimized geometry

Properties
Total magnetization (μB/cell): 0.00

Lattice parameters (Å, degrees): 4.3493 25.4778 6.8100 90.00 90.00 90.00
Last column: nearest neighbours and their distance in Å.
Space group Cmcm (No. 63)
Asymmetric unit:
1 Na 0.0000 0.2269 0.2500 [4 per cell]  7 Bi 3.39-3.79
2 Pa 0.0000 0.0757 0.7500 [4 per cell]  10 Bi 3.34-3.41
3 Bi 0.0000 0.0784 0.2500 [4 per cell]  2 Pa 3.41, 8 Bi 3.41-3.46, 1 Na 3.79
4 Bi 0.0000 0.3453 0.0224 [8 per cell]  3 Bi 3.10-3.46, 2 Pa 3.34, 3 Na 3.39-3.40
5 Bi 0.0000 0.5000 0.0000 [4 per cell]  4 Pa 3.37, 6 Bi 3.40-3.41

#ii
Compound: NaPaBi4
Source: the Alexandria database
Functional: PBE-GGA
Structure: optimized geometry

Properties
Total magnetization (μB/cell): 0.00

Lattice parameters (Å, degrees): 8.7604 9.5318 5.7327 90.00 90.00 90.00
Last column: nearest neighbours and their distance in Å.
Space group Cmmm (No. 65)
Asymmetric unit:
1 Na 0.0000 0.0000 0.0000 [2 per cell]  6 Bi 3.21-3.30
2 Pa 0.0000 0.5000 0.5000 [2 per cell]  6 Bi 2.94-3.22
3 Bi 0.0000 0.3466 0.0000 [4 per cell]  1 Bi 2.92, 2 Pa 3.22
4 Bi 0.1647 0.0000 0.5000 [4 per cell]  1 Bi 2.89, 1 Pa 2.94, 2 Na 3.21

Bottom line: #i, by a margin of 0.503 eV/atom.

#i
Compound: NaPaBi2
Source: the Alexandria database
Functional: PBE-GGA
Structure: optimized geometry

Properties
Total magnetization (μB/cell): 0.48

Lattice parameters (Å, degrees): 4.5665 4.5665 22.8671 90.00 90.00 120.00
Last column: nearest neighbours and their distance in Å.
Space group R3m (No. 160, hexagonal axes)
Asymmetric unit:
1 Na 0.0000 0.0000 0.0000 [3 per cell]  6 Bi 3.31-3.43
2 Pa 0.0000 0.0000 0.1714 [3 per cell]  6 Bi 3.14-3.15
3 Bi 0.0000 0.0000 0.5790 [3 per cell]  3 Pa 3.14, 3 Na 3.31
4 Bi 0.0000 0.0000 0.7626 [3 per cell]  3 Pa 3.15, 3 Na 3.43

#ii
Compound: NaPaBi2
Source: the Alexandria database
Functional: PBE-GGA
Structure: optimized geometry

Properties
Total magnetization (μB/cell): 0.00

Lattice parameters (Å, degrees): 4.6242 4.6242 22.0495 90.00 90.00 120.00
Last column: nearest neighbours and their distance in Å.
Space group R-3m (No. 166, hexagonal axes)
Asymmetric unit:
1 Na 0.0000 0.0000 0.0000 [3 per cell]  6 Bi 3.35
2 Pa 0.0000 0.0000 0.5000 [3 per cell]  6 Bi 3.14
3 Bi 0.0000 0.0000 0.2415 [6 per cell]  3 Pa 3.14, 3 Na 3.35

#iii
Compound: NaPaBi2
Source: the Alexandria database
Functional: PBE-GGA
Structure: optimized geometry

Properties
Total magnetization (μB/cell): 0.52

Lattice parameters (Å, degrees): 7.7104 7.7104 7.7104 90.00 90.00 90.00
Last column: nearest neighbours and their distance in Å.
Space group Fm-3m (No. 225)
Asymmetric unit:
1 Na 0.0000 0.0000 0.0000 [4 per cell]  8 Bi 3.34
2 Pa 0.0000 0.0000 0.5000 [4 per cell]  8 Bi 3.34
3 Bi 0.2500 0.2500 0.2500 [8 per cell]  4 Pa 3.34, 4 Na 3.34

#iv
Compound: NaPaBi2
Source: the Alexandria database
Functional: PBE-GGA
Structure: optimized geometry

Properties
Total magnetization (μB/cell): 0.65

Lattice parameters (Å, degrees): 4.0102 4.0102 7.4595 90.00 90.00 90.00
Last column: nearest neighbours and their distance in Å.
Space group P4/mmm (No. 123)
Asymmetric unit:
1 Na 0.0000 0.0000 0.0000 [1 per cell]  8 Bi 3.49, 2 Pa 3.73
2 Pa 0.0000 0.0000 0.5000 [1 per cell]  8 Bi 3.30
3 Bi 0.5000 0.5000 0.2728 [2 per cell]  4 Pa 3.30, 1 Bi 3.39, 4 Na 3.49

Bottom line: #ii, by a margin of 0.010 eV/atom.

#i
Compound: NaPaBi2
Source: the Alexandria database
Functional: PBE-GGA
Structure: optimized geometry

Properties
Total magnetization (μB/cell): 1.08

Lattice parameters (Å, degrees): 5.8497 5.8497 3.3426 90.00 90.00 90.00
Last column: nearest neighbours and their distance in Å.
Space group P4/mmm (No. 123)
Asymmetric unit:
1 Na 0.0000 0.0000 0.0000 [1 per cell]  2 Na 3.34, 8 Bi 3.37
2 Pa 0.5000 0.5000 0.0000 [1 per cell]  2 Pa 3.34, 8 Bi 3.37
3 Bi 0.0000 0.5000 0.5000 [2 per cell]  2 Bi 3.34, 4 Na 3.37, 4 Pa 3.37

#ii
Compound: NaPaBi2
Source: the Alexandria database
Functional: PBE-GGA
Structure: optimized geometry

Properties
Total magnetization (μB/cell): 0.62

Lattice parameters (Å, degrees): 5.8029 4.7321 8.8046 90.00 93.32 90.00
Last column: nearest neighbours and their distance in Å.
Space group C2/m (No. 12)
Asymmetric unit:
1 Na 0.0000 0.0000 0.0000 [2 per cell]  6 Bi 3.32-3.52
2 Pa 0.0000 0.0000 0.5000 [2 per cell]  4 Bi 3.15
3 Bi 0.0202 0.5000 0.7366 [4 per cell]  2 Pa 3.15, 3 Na 3.32-3.52

Bottom line: #ii, by a margin of 0.035 eV/atom.